(1)
# Ta2IrPt

Ta2IrPt at its PBEsol-relaxed geometry (SCAN, Alexandria via LeMat-Bulk).

Unit cell a=2.8016 b=4.6103 c=4.9108 alpha=90.00 beta=92.46 gamma=90.00
Fractional coordinates of all 4 atoms:
Ta1 0.0000 0.0000 0.0000
Ta2 0.1018 0.5000 0.6309
Ir1 0.5531 0.5000 0.1282
Pt1 0.5511 0.0000 0.4919

Output
D(E_F), states/eV/cell: 2.3
Uncorrected energy, eV per cell: -277.48
Space group: Pm (6)


(2)
# Li2NbRe

Li2NbRe at its PBEsol-relaxed geometry (SCAN, Alexandria via LeMat-Bulk).

Unit cell a=5.9508 b=5.9508 c=5.9508 alpha=90.00 beta=90.00 gamma=90.00
Fractional coordinates of all 16 atoms:
Li1 0.2500 0.2500 0.2500
Li2 0.2500 0.2500 0.7500
Li3 0.2500 0.7500 0.2500
Li4 0.2500 0.7500 0.7500
Li5 0.7500 0.2500 0.2500
Li6 0.7500 0.2500 0.7500
Li7 0.7500 0.7500 0.2500
Li8 0.7500 0.7500 0.7500
Nb1 0.0000 0.0000 0.0000
Nb2 0.0000 0.5000 0.5000
Nb3 0.5000 0.0000 0.5000
Nb4 0.5000 0.5000 0.0000
Re1 0.0000 0.0000 0.5000
Re2 0.0000 0.5000 0.0000
Re3 0.5000 0.0000 0.0000
Re4 0.5000 0.5000 0.5000

Output
D(E_F), states/eV/cell: 9.5
Uncorrected energy, eV per cell: -424.91
Space group: Fm-3m (225)


(3)
# Mg2Tc3

Mg2Tc3 at its PBEsol-relaxed geometry (SCAN, Alexandria via LeMat-Bulk).

Unit cell a=2.8039 b=2.8039 c=11.5343 alpha=90.00 beta=90.00 gamma=120.00
Fractional coordinates of all 5 atoms:
Mg1 0.3333 0.6667 0.3823
Mg2 0.6667 0.3333 0.6177
Tc1 0.0000 0.0000 0.0000
Tc2 0.3333 0.6667 0.8189
Tc3 0.6667 0.3333 0.1811

Output
D(E_F), states/eV/cell: 3.9
Uncorrected energy, eV per cell: -114.40
Space group: P-3m1 (164)


(4)
# Sm2Mn3Cu9P7

Sm2Mn3Cu9P7 at its PBEsol-relaxed geometry (SCAN, Alexandria via LeMat-Bulk).

Unit cell a=9.3495 b=9.3495 c=3.7279 alpha=90.00 beta=90.00 gamma=120.00
Fractional coordinates of all 21 atoms:
Sm1 0.0000 0.0000 0.0000
Sm2 0.3333 0.6667 0.5000
Mn1 0.4516 0.2041 0.0000
Mn2 0.7525 0.5484 0.0000
Mn3 0.7959 0.2475 0.0000
Cu1 0.0508 0.2856 0.5000
Cu2 0.0923 0.7173 0.0000
Cu3 0.2348 0.9492 0.5000
Cu4 0.2827 0.3749 0.0000
Cu5 0.5061 0.4512 0.5000
Cu6 0.5488 0.0549 0.5000
Cu7 0.6251 0.9077 0.0000
Cu8 0.7144 0.7652 0.5000
Cu9 0.9451 0.4939 0.5000
P1 0.0775 0.4515 0.0000
P2 0.2595 0.2070 0.5000
P3 0.3741 0.9225 0.0000
P4 0.5485 0.6259 0.0000
P5 0.6667 0.3333 0.5000
P6 0.7930 0.0525 0.5000
P7 0.9475 0.7405 0.5000

Output
D(E_F), states/eV/cell: 9.6
Uncorrected energy, eV per cell: -364.66
Space group: P-6 (174)


(5)
# MgMnZnNi2

MgMnZnNi2 at its PBEsol-relaxed geometry (SCAN, Alexandria via LeMat-Bulk).

Unit cell a=4.2075 b=4.2075 c=4.4843 alpha=90.00 beta=90.00 gamma=90.00
Fractional coordinates of all 5 atoms:
Mg1 0.0000 0.0000 0.0000
Mn1 0.5000 0.5000 0.5000
Zn1 0.5000 0.5000 0.0000
Ni1 0.0000 0.5000 0.5000
Ni2 0.5000 0.0000 0.5000

Output
D(E_F), states/eV/cell: 3.3
Uncorrected energy, eV per cell: -65.15
Space group: P4/mmm (123)


(6)
# HgHF2

HgHF2 at its PBEsol-relaxed geometry (SCAN, Alexandria via LeMat-Bulk).

Unit cell a=2.8213 b=2.8213 c=19.0444 alpha=90.00 beta=90.00 gamma=120.00
Fractional coordinates of all 12 atoms:
Hg1 0.0000 0.0000 0.0000
Hg2 0.3333 0.6667 0.6667
Hg3 0.6667 0.3333 0.3333
H1 0.0000 0.0000 0.5000
H2 0.3333 0.6667 0.1667
H3 0.6667 0.3333 0.8333
F1 0.0000 0.0000 0.1196
F2 0.0000 0.0000 0.8804
F3 0.3333 0.6667 0.5471
F4 0.3333 0.6667 0.7863
F5 0.6667 0.3333 0.2137
F6 0.6667 0.3333 0.4529

Output
D(E_F), states/eV/cell: 5.6
Uncorrected energy, eV per cell: -241.06
Space group: R-3m (166)


(7)
# CaY2PdO

CaY2PdO at its PBEsol-relaxed geometry (SCAN, Alexandria via LeMat-Bulk).

Unit cell a=4.4671 b=4.4671 c=5.7108 alpha=90.00 beta=90.00 gamma=90.00
Fractional coordinates of all 5 atoms:
Ca1 0.0000 0.0000 0.0000
Y1 0.0000 0.5000 0.5000
Y2 0.5000 0.0000 0.5000
Pd1 0.5000 0.5000 0.0000
O1 0.5000 0.5000 0.5000

Output
D(E_F), states/eV/cell: 3.3
Uncorrected energy, eV per cell: -109.79
Energy relative to the elements, uncorrected, eV/atom: -1.09
Space group: P4/mmm (123)


(8)
# InHgSe2

InHgSe2 at its PBEsol-relaxed geometry (SCAN, Alexandria via LeMat-Bulk).

Unit cell a=4.0496 b=4.0496 c=5.7092 alpha=90.00 beta=90.00 gamma=90.00
Fractional coordinates of all 4 atoms:
In1 0.0000 0.0000 0.0000
Hg1 0.5000 0.5000 0.5000
Se1 0.0000 0.0000 0.5000
Se2 0.5000 0.5000 0.0000

Output
D(E_F), states/eV/cell: 0.8
Uncorrected energy, eV per cell: -142.95
Energy relative to the elements, uncorrected, eV/atom: -0.31
Space group: P4/mmm (123)